1.
Crystalline Sr3AgO at its relaxed geometry. Source: the Alexandria database, functional PBE-GGA.

a = 5.1991 Å, b = 5.1991 Å, c = 5.1991 Å
α = 90.00°, β = 90.00°, γ = 90.00°
Fractional positions:
Sr: 0.0000 0.5000 0.0000
Sr: 0.5000 0.0000 0.0000
Sr: 0.0000 0.0000 0.5000
Ag: 0.5000 0.5000 0.5000
O: 0.0000 0.0000 0.0000

Results
E_form (uncorrected) = -1.139 eV per atom
energy relative to the lowest polymorph listed for this composition = 0 meV/atom
N(E_F) = 2.46 states/eV/f.u.
volume = 28.1 Å³/atom

2.
Crystalline SrAgO3 at its relaxed geometry. Source: the Alexandria database, functional PBE-GGA.

a = 4.5593 Å, b = 4.5593 Å, c = 4.5593 Å
α = 90.00°, β = 90.00°, γ = 90.00°
Fractional positions:
O: 0.0000 0.0000 0.5000
O: 0.5000 0.0000 0.0000
O: 0.0000 0.5000 0.0000
Ag: 0.5000 0.5000 0.5000
Sr: 0.0000 0.0000 0.0000

Results
E_form (uncorrected) = -0.087 eV per atom
N(E_F) = 5.91 states/eV/f.u.
volume = 19.0 Å³/atom

3.
Crystalline SrAgO3 at its relaxed geometry. Source: the Alexandria database, functional PBE-GGA.

a = 4.0607 Å, b = 4.0607 Å, c = 4.0607 Å
α = 90.00°, β = 90.00°, γ = 90.00°
Fractional positions:
O: 0.0000 0.0000 0.5000
O: 0.5000 0.0000 0.0000
O: 0.0000 0.5000 0.0000
Ag: 0.0000 0.0000 0.0000
Sr: 0.5000 0.5000 0.5000

Results
E_form (uncorrected) = -0.963 eV per atom
N(E_F) = 3.38 states/eV/f.u.
volume = 13.4 Å³/atom

4.
Crystalline SrAgO3 at its relaxed geometry. Source: the Alexandria database, functional PBE-GGA.

a = 3.4572 Å, b = 5.3266 Å, c = 7.4205 Å
α = 90.00°, β = 90.00°, γ = 89.79°
Fractional positions:
Sr: 0.7500 0.2500 0.1425
Sr: 0.2500 0.7500 0.8575
O: 0.2488 0.4997 0.3599
O: 0.7500 0.7500 0.0874
O: 0.2500 0.2500 0.9126
O: 0.2512 0.0003 0.3599
O: 0.7488 0.9997 0.6401
O: 0.7512 0.5003 0.6401
Ag: 0.2500 0.2500 0.6312
Ag: 0.7500 0.7500 0.3688

Results
E_form (uncorrected) = -0.864 eV per atom
N(E_F) = 2.50 states/eV/f.u.
volume = 13.7 Å³/atom

5.
Crystalline SrAg2O3 at its relaxed geometry. Source: the Alexandria database, functional PBE-GGA.

a = 3.9375 Å, b = 4.5730 Å, c = 10.8658 Å
α = 90.00°, β = 90.00°, γ = 90.00°
Fractional positions:
Ag: 0.1303 0.0000 0.6648
Ag: 0.1303 0.0000 0.3352
Ag: 0.8697 0.5000 0.1648
Ag: 0.8697 0.5000 0.8352
O: 0.8941 0.0000 0.1597
O: 0.1059 0.5000 0.6597
O: 0.1059 0.5000 0.3403
O: 0.8941 0.0000 0.8403
O: 0.5979 0.5000 0.0000
O: 0.4021 0.0000 0.5000
Sr: 0.6180 0.5000 0.5000
Sr: 0.3820 0.0000 0.0000

Results
E_form (uncorrected) = -1.005 eV per atom
N(E_F) = 0.18 states/eV/f.u.
volume = 16.3 Å³/atom

6.
Crystalline Sr4Ta3AgO12 at its relaxed geometry. Source: the Alexandria database, functional PBE-GGA.

a = 7.1900 Å, b = 7.1900 Å, c = 7.1900 Å
α = 109.47°, β = 109.47°, γ = 109.47°
Fractional positions:
O: 0.7277 0.7277 0.0000
O: 0.5000 0.2500 0.7500
O: 0.7277 0.0000 0.7277
O: 0.2723 0.0000 0.2723
O: 0.5000 0.7500 0.2500
O: 0.0000 0.2723 0.2723
O: 0.2500 0.7500 0.5000
O: 0.0000 0.7277 0.7277
O: 0.7500 0.5000 0.2500
O: 0.2500 0.5000 0.7500
O: 0.2723 0.2723 0.0000
O: 0.7500 0.2500 0.5000
Ta: 0.5000 0.5000 0.0000
Ta: 0.5000 0.0000 0.5000
Ta: 0.0000 0.5000 0.5000
Sr: 0.0000 0.5000 0.0000
Sr: 0.0000 0.0000 0.5000
Sr: 0.5000 0.0000 0.0000
Sr: 0.5000 0.5000 0.5000
Ag: 0.0000 0.0000 0.0000

Results
E_form (uncorrected) = -2.663 eV per atom
volume = 14.3 Å³/atom

7.
Crystalline SrTcAgO4 at its relaxed geometry. Source: the Alexandria database, functional PBE-GGA.

a = 6.5508 Å, b = 6.5508 Å, c = 6.5508 Å
α = 60.00°, β = 60.00°, γ = 60.00°
Fractional positions:
Sr: 0.7500 0.7500 0.7500
O: 0.9177 0.3608 0.3608
O: 0.3608 0.9177 0.3608
O: 0.3608 0.3608 0.9177
O: 0.3608 0.3608 0.3608
Ag: 0.5000 0.5000 0.5000
Tc: 0.2500 0.2500 0.2500

Results
E_form (uncorrected) = -0.938 eV per atom
N(E_F) = 3.40 states/eV/f.u.
volume = 28.4 Å³/atom

8.
Crystalline Sr2TcAg2O6 at its relaxed geometry. Source: the Alexandria database, functional PBE-GGA.

a = 6.1771 Å, b = 6.1771 Å, c = 6.5252 Å
α = 83.57°, β = 83.57°, γ = 120.81°
Fractional positions:
O: 0.7700 0.0481 0.3272
O: 0.2300 0.9519 0.6728
O: 0.2936 0.2936 0.3450
O: 0.0481 0.7700 0.3272
O: 0.9519 0.2300 0.6728
O: 0.7064 0.7064 0.6550
Tc: 0.0000 0.0000 0.5000
Sr: 0.6667 0.3333 0.5000
Sr: 0.3333 0.6667 0.5000
Ag: 0.1370 0.8630 0.0000
Ag: 0.8630 0.1370 0.0000

Results
E_form (uncorrected) = -1.559 eV per atom
N(E_F) = 0.31 states/eV/f.u.
volume = 18.9 Å³/atom

9.
Crystalline SrAgTeO6 at its relaxed geometry. Source: the Alexandria database, functional PBE-GGA.

a = 5.3656 Å, b = 5.4848 Å, c = 5.4070 Å
α = 91.13°, β = 90.58°, γ = 59.26°
Fractional positions:
Te: 0.3405 0.3297 0.5000
O: 0.0189 0.6146 0.7066
O: 0.6093 0.3543 0.7224
O: 0.3609 0.6181 0.3032
O: 0.3609 0.0210 0.6968
O: 0.6092 0.0364 0.2775
O: 0.0188 0.3665 0.2934
Sr: 0.0099 0.9951 0.0000
Ag: 0.6712 0.6644 0.5000

Results
E_form (uncorrected) = -1.114 eV per atom
N(E_F) = 1.14 states/eV/f.u.
volume = 15.2 Å³/atom

10.
Crystalline Sr2AgTeO6 at its relaxed geometry. Source: the Alexandria database, functional PBE-GGA.

a = 5.6207 Å, b = 6.0224 Å, c = 6.0208 Å
α = 55.65°, β = 65.16°, γ = 65.16°
Fractional positions:
O: 0.6099 0.1226 0.8578
O: 0.4866 0.1395 0.3604
O: 0.0224 0.5097 0.2453
O: 0.4863 0.6253 0.8746
O: 0.1460 0.0071 0.2284
O: 0.1457 0.4928 0.7426
Ag: 0.8162 0.8162 0.5515
Sr: 0.5392 0.5728 0.3082
Sr: 0.0931 0.0595 0.7948
Te: 0.3162 0.3162 0.0515

Results
E_form (uncorrected) = -1.696 eV per atom
N(E_F) = 3.76 states/eV/f.u.
volume = 14.8 Å³/atom

11.
Crystalline SrAgTeO4 at its relaxed geometry. Source: the Alexandria database, functional PBE-GGA.

a = 6.6129 Å, b = 6.6129 Å, c = 6.6129 Å
α = 60.00°, β = 60.00°, γ = 60.00°
Fractional positions:
Te: 0.2500 0.2500 0.2500
O: 0.3658 0.3658 0.3658
O: 0.3658 0.9027 0.3658
O: 0.3658 0.3658 0.9027
O: 0.9027 0.3658 0.3658
Sr: 0.7500 0.7500 0.7500
Ag: 0.5000 0.5000 0.5000

Results
E_form (uncorrected) = -0.699 eV per atom
N(E_F) = 0.65 states/eV/f.u.
volume = 29.2 Å³/atom

12.
Crystalline Sr2TiAgO5 at its relaxed geometry. Source: the Alexandria database, functional PBE-GGA.

a = 3.2076 Å, b = 7.7824 Å, c = 10.3974 Å
α = 90.00°, β = 90.00°, γ = 101.89°
Fractional positions:
O: 0.3482 0.6964 0.0056
O: 0.2753 0.5506 0.6367
O: 0.5019 0.0037 0.2698
O: 0.7247 0.4494 0.1367
O: 0.4981 0.9963 0.7698
O: 0.0948 0.1896 0.0593
O: 0.9052 0.8104 0.5593
O: 0.2897 0.5794 0.3849
O: 0.7103 0.4206 0.8849
O: 0.6518 0.3036 0.5056
Sr: 0.1169 0.2337 0.6999
Sr: 0.1282 0.2565 0.2942
Sr: 0.8831 0.7663 0.1999
Sr: 0.8718 0.7435 0.7942
Ti: 0.7732 0.5464 0.5092
Ti: 0.2268 0.4536 0.0092
Ag: 0.5365 0.0730 0.9645
Ag: 0.4635 0.9270 0.4645

Results
E_form (uncorrected) = -2.187 eV per atom
N(E_F) = 1.89 states/eV/f.u.
volume = 14.1 Å³/atom

13.
Crystalline Sr4Ti3AgO12 at its relaxed geometry. Source: the Alexandria database, functional PBE-GGA.

a = 6.9002 Å, b = 6.9002 Å, c = 6.9002 Å
α = 109.47°, β = 109.47°, γ = 109.47°
Fractional positions:
O: 0.5000 0.2500 0.7500
O: 0.7500 0.2500 0.5000
O: 0.2595 0.0000 0.2595
O: 0.7500 0.5000 0.2500
O: 0.0000 0.7405 0.7405
O: 0.7405 0.7405 0.0000
O: 0.2500 0.5000 0.7500
O: 0.5000 0.7500 0.2500
O: 0.2500 0.7500 0.5000
O: 0.0000 0.2595 0.2595
O: 0.2595 0.2595 0.0000
O: 0.7405 0.0000 0.7405
Ti: 0.5000 0.0000 0.5000
Ti: 0.5000 0.5000 0.0000
Ti: 0.0000 0.5000 0.5000
Sr: 0.0000 0.5000 0.0000
Sr: 0.5000 0.5000 0.5000
Sr: 0.5000 0.0000 0.0000
Sr: 0.0000 0.0000 0.5000
Ag: 0.0000 0.0000 0.0000

Results
E_form (uncorrected) = -2.576 eV per atom
N(E_F) = 7.50 states/eV/f.u.
volume = 12.6 Å³/atom

14.
Crystalline Sr2TlAgO5 at its relaxed geometry. Source: the Alexandria database, functional PBE-GGA.

a = 3.5282 Å, b = 7.2393 Å, c = 11.1737 Å
α = 90.00°, β = 90.00°, γ = 104.10°
Fractional positions:
Ag: 0.4712 0.9424 0.4467
Ag: 0.5288 0.0576 0.9467
O: 0.6743 0.3486 0.8902
O: 0.4871 0.9742 0.7697
O: 0.9376 0.8752 0.5715
O: 0.5129 0.0258 0.2697
O: 0.2661 0.5323 0.6607
O: 0.0624 0.1248 0.0715
O: 0.3810 0.7620 0.9902
O: 0.3257 0.6514 0.3902
O: 0.7339 0.4677 0.1607
O: 0.6190 0.2380 0.4902
Tl: 0.2165 0.4330 0.0237
Tl: 0.7835 0.5670 0.5237
Sr: 0.0916 0.1832 0.6750
Sr: 0.1417 0.2834 0.2962
Sr: 0.8583 0.7166 0.7962
Sr: 0.9084 0.8168 0.1750

Results
E_form (uncorrected) = -1.375 eV per atom
N(E_F) = 1.93 states/eV/f.u.
volume = 15.4 Å³/atom

15.
Crystalline Sr2TlAg2O6 at its relaxed geometry. Source: the Alexandria database, functional PBE-GGA.

a = 6.2480 Å, b = 6.2480 Å, c = 6.8594 Å
α = 62.91°, β = 62.91°, γ = 60.00°
Fractional positions:
Tl: 0.0000 0.0000 0.0000
Ag: 0.4162 0.4162 0.7514
Ag: 0.5838 0.5838 0.2486
O: 0.7618 0.7618 0.2795
O: 0.2382 0.2382 0.7205
O: 0.8031 0.2382 0.7205
O: 0.7618 0.1969 0.2795
O: 0.1969 0.7618 0.2795
O: 0.2382 0.8031 0.7205
Sr: 0.2036 0.2036 0.3893
Sr: 0.7964 0.7964 0.6107

Results
E_form (uncorrected) = -0.912 eV per atom
N(E_F) = 7.57 states/eV/f.u.
volume = 17.9 Å³/atom

16.
Crystalline Sr3TlAg2O6 at its relaxed geometry. Source: the Alexandria database, functional PBE-GGA.

a = 6.1529 Å, b = 6.1529 Å, c = 6.4434 Å
α = 90.00°, β = 90.00°, γ = 120.00°
Fractional positions:
Sr: 0.6667 0.3333 0.4214
Sr: 0.0000 0.0000 0.0000
Sr: 0.3333 0.6667 0.5786
Ag: 0.3333 0.6667 0.0858
Ag: 0.6667 0.3333 0.9142
O: 0.8317 0.1683 0.7064
O: 0.1683 0.8317 0.2936
O: 0.3367 0.1683 0.7064
O: 0.8317 0.6633 0.7064
O: 0.1683 0.3367 0.2936
O: 0.6633 0.8317 0.2936
Tl: 0.0000 0.0000 0.5000

Results
E_form (uncorrected) = -1.261 eV per atom
N(E_F) = 5.10 states/eV/f.u.
volume = 17.6 Å³/atom

17.
Crystalline SrTl2AgO4 at its relaxed geometry. Source: the Alexandria database, functional PBE-GGA.

a = 3.6297 Å, b = 7.0476 Å, c = 11.0139 Å
α = 90.00°, β = 90.00°, γ = 104.92°
Fractional positions:
Tl: 0.6139 0.2279 0.4482
Tl: 0.3861 0.7721 0.5518
Tl: 0.6139 0.2279 0.0518
Tl: 0.3861 0.7721 0.9482
O: 0.3279 0.6558 0.1266
O: 0.3279 0.6558 0.3734
O: 0.6721 0.3442 0.8734
O: 0.4358 0.8716 0.7500
O: 0.6721 0.3442 0.6266
O: 0.0000 0.0000 0.5000
O: 0.0000 0.0000 0.0000
O: 0.5642 0.1284 0.2500
Ag: 0.8006 0.6012 0.7500
Ag: 0.1994 0.3988 0.2500
Sr: 0.0818 0.1636 0.7500
Sr: 0.9182 0.8364 0.2500

Results
E_form (uncorrected) = -0.963 eV per atom
N(E_F) = 1.59 states/eV/f.u.
volume = 17.0 Å³/atom

18.
Crystalline Sr2TmAgO5 at its relaxed geometry. Source: the Alexandria database, functional PBE-GGA.

a = 3.4832 Å, b = 7.0462 Å, c = 11.4587 Å
α = 90.00°, β = 90.00°, γ = 104.31°
Fractional positions:
Tm: 0.7861 0.5722 0.5229
Tm: 0.2139 0.4278 0.0229
O: 0.3235 0.6470 0.3970
O: 0.6765 0.3530 0.8970
O: 0.0634 0.1268 0.0748
O: 0.3762 0.7524 0.9869
O: 0.7326 0.4651 0.1490
O: 0.6238 0.2476 0.4869
O: 0.5137 0.0273 0.2736
O: 0.2674 0.5349 0.6490
O: 0.9366 0.8732 0.5748
O: 0.4863 0.9727 0.7736
Ag: 0.5262 0.0525 0.9473
Ag: 0.4738 0.9475 0.4473
Sr: 0.9089 0.8178 0.1789
Sr: 0.8543 0.7086 0.7937
Sr: 0.0911 0.1822 0.6789
Sr: 0.1457 0.2914 0.2937

Results
E_form (uncorrected) = -2.186 eV per atom
N(E_F) = 1.12 states/eV/f.u.
volume = 15.1 Å³/atom

19.
Crystalline SrTmAg2O4 at its relaxed geometry. Source: the Alexandria database, functional PBE-GGA.

a = 6.0773 Å, b = 5.4787 Å, c = 5.4787 Å
α = 67.44°, β = 56.31°, γ = 56.31°
Fractional positions:
Ag: 0.2488 0.2512 0.2512
Ag: 0.7512 0.7488 0.7488
O: 0.4834 0.5169 0.8965
O: 0.1032 0.8965 0.5169
O: 0.5166 0.1035 0.4831
O: 0.8968 0.4831 0.1035
Sr: 0.0000 0.0000 0.0000
Tm: 0.5000 0.5000 0.5000

Results
E_form (uncorrected) = -1.758 eV per atom
N(E_F) = 2.83 states/eV/f.u.
volume = 15.7 Å³/atom

20.
Crystalline SrUAgO5 at its relaxed geometry. Source: the Alexandria database, functional PBE-GGA.

a = 6.1501 Å, b = 6.1501 Å, c = 8.1877 Å
α = 101.43°, β = 101.43°, γ = 114.23°
Fractional positions:
O: 0.6629 0.6956 0.9235
O: 0.7441 0.1302 0.4291
O: 0.3371 0.3044 0.0765
O: 0.2559 0.8698 0.5709
O: 0.0681 0.9319 0.2500
O: 0.3044 0.3371 0.5765
O: 0.9319 0.0681 0.7500
O: 0.6956 0.6629 0.4235
O: 0.8698 0.2559 0.0709
O: 0.1302 0.7441 0.9291
U: 0.0000 0.0000 0.0000
U: 0.0000 0.0000 0.5000
Ag: 0.6703 0.3297 0.2500
Ag: 0.3297 0.6703 0.7500
Sr: 0.6868 0.3132 0.7500
Sr: 0.3132 0.6868 0.2500

Results
E_form (uncorrected) = -2.315 eV per atom
N(E_F) = 2.14 states/eV/f.u.
volume = 16.4 Å³/atom

| no. | electronic total energy (eV per atom) | theoretical density (Mg/m³) |
| --- | --- | --- |
| 1 | -3.710 | 4.6 |
| 2 | -3.968 | 4.3 |
| 3 | -4.845 | 6.0 |
| 4 | -4.746 | 5.9 |
| 5 | -4.715 | 6.0 |
| 6 | -7.895 | 6.9 |
| 7 | -5.900 | 3.0 |
| 8 | -6.030 | 4.7 |
| 9 | -5.272 | 5.1 |
| 10 | -5.606 | 5.7 |
| 11 | -4.629 | 3.1 |
| 12 | -6.510 | 5.4 |
| 13 | -7.214 | 5.2 |
| 14 | -5.083 | 6.8 |
| 15 | -4.656 | 5.8 |
| 16 | -4.832 | 6.1 |
| 17 | -4.600 | 8.2 |
| 18 | -6.128 | 6.5 |
| 19 | -5.719 | 7.1 |
| 20 | -7.391 | 6.5 |